No. 1
A relaxed Pm5Pu crystal, computed with PBE.

The structure in extended XYZ format:
```
6
Lattice="-2.7470 -3.8984 1.8820 1.9028 -3.0713 -3.5847 4.8276 -0.2974 6.4304" Properties=species:S:1:pos:R:3 pbc="T T T"
Pm 0.5155 -2.5484 2.4570
Pm 2.8391 -2.1344 -0.2773
Pm 3.8912 -1.2343 3.1230
Pm 3.4679 -4.7188 2.2706
Pm -0.4221 -3.4848 -0.8514
Pu 0.0000 0.0000 0.0000
```

Calculated values
SG   Cmmm (65)
Calculated formation energy   0.5 eV per formula unit
Size of the total moment   6.40 μB/f.u.

***

No. 2
A relaxed CoPbBr2 crystal, computed with PBE.

The structure in extended XYZ format:
```
4
Lattice="6.8776 0.0161 0.0174 4.1211 5.5062 -0.0174 -5.0084 -3.7390 2.8702" Properties=species:S:1:pos:R:3 pbc="T T T"
Br 10.6504 5.3475 0.0000
Br 2.7856 -0.9320 1.4438
Co 5.7991 2.9117 0.0000
Pb 3.2532 2.7398 1.4264
```

Calculated values
ΔE_f (raw)   0.13 eV/f.u.
SG   Imm2 (44)
Polymorph energy (0 for the lowest one)   4.92 kcal/mol of atoms
Size of the total moment   2.00 μB/f.u.

***

No. 3
A relaxed LaTmPuMg crystal, computed with PBE.

The structure in extended XYZ format:
```
4
Lattice="-2.6019 -4.7602 1.0019 0.6411 -4.2698 -3.4338 2.8711 -4.4271 1.6095" Properties=species:S:1:pos:R:3 pbc="T T T"
La 0.6828 -10.0928 -0.6168
Tm 0.2276 -3.3643 -0.2056
Pu 0.4552 -6.7286 -0.4112
Mg 0.0000 0.0000 0.0000
```

Calculated values
SG   F-43m (216)
Calculated formation energy   0.6 eV per formula unit
Size of the total moment   6.43 μB/f.u.